ZrNiMo | PBE-GGA | relaxed

Cell lengths 2.8593, 2.8593, 6.9681 Å; angles 90.00, 90.00, 120.00 degrees
Space group P3m1 (No. 156)
Inequivalent atoms, fractional coordinates:
Zr: 0.0000 0.0000 0.0000
Ni: 0.6667 0.3333 0.6687
Mo: 0.3333 0.6667 0.3790

energy of formation from the pure elements	0.279	eV per atom
N(E_F)	3.94	states/eV per cell
energy above the most stable polymorph in this dataset	0.501	eV/atom

---

AcYTmHg | PBE-GGA | relaxed

Cell lengths 7.859, 7.859, 7.859 Å; angles 90.00, 90.00, 90.00 degrees
Space group F-43m (No. 216)
Inequivalent atoms, fractional coordinates:
Ac: 0.000 0.000 0.000
Y: 0.250 0.250 0.250
Tm: 0.250 0.250 0.750
Hg: 0.000 0.000 0.500

energy of formation from the pure elements	0.069	eV per atom
N(E_F)	27.51	states/eV per cell